7
Lattice="4.5966 0.0000 0.0000 -0.2196 5.0728 0.0000 -1.9554 -0.5351 4.8643" Properties=species:S:1:pos:R:3 comment="Li2Al2Ag3 GGA-PBE relaxed" sg="P-1 (2)" formation_energy_ev_per_atom=-0.184 pbc="T T T"
Li -0.0347 1.3422 0.6965
Li 2.4564 3.1954 4.1678
Al 0.1846 1.7335 3.4945
Al 2.2371 2.8041 1.3697
Ag -0.0613 3.9857 2.0610
Ag 2.2983 0.0000 0.0000
Ag 2.4830 0.5520 2.8032

4
Lattice="0.0000 3.3185 3.3185 3.3185 0.0000 3.3185 3.3185 3.3185 0.0000" Properties=species:S:1:pos:R:3 comment="CrSBr2 GGA-PBE relaxed" formation_energy_uncorrected_ev_per_fu=4.1 polymorph_energy_mev_per_atom=857.8 sg="Fm-3m (225)" pbc="T T T"
Cr 0.0000 0.0000 0.0000
S 3.3185 3.3185 3.3185
Br 1.6592 1.6592 1.6592
Br 4.9777 4.9777 4.9777

Number 1 is which compound?
Li2Al2Ag3

Copy entry 1 word for word.
7
Lattice="4.5966 0.0000 0.0000 -0.2196 5.0728 0.0000 -1.9554 -0.5351 4.8643" Properties=species:S:1:pos:R:3 comment="Li2Al2Ag3 GGA-PBE relaxed" sg="P-1 (2)" formation_energy_ev_per_atom=-0.184 pbc="T T T"
Li -0.0347 1.3422 0.6965
Li 2.4564 3.1954 4.1678
Al 0.1846 1.7335 3.4945
Al 2.2371 2.8041 1.3697
Ag -0.0613 3.9857 2.0610
Ag 2.2983 0.0000 0.0000
Ag 2.4830 0.5520 2.8032